# 1
MgIr2Ru, optimized geometry, DFT PBE; total moment = 1.00 μB per cell; DFT formation energy = 86.6 meV per atom
1.0
2.848 0.000 0.000
0.000 4.545 0.000
0.000 0.000 4.597
Mg Ir Ru
1 2 1
direct
0.000 0.000 0.000
0.000 0.500 0.500
0.500 0.500 0.000
0.500 0.000 0.500


# 2
Ce5Ga2Hg2, optimized geometry, DFT PBE; total moment = 10.33 μB per cell; DFT formation energy = -302.6 meV per atom
1.0
8.207 -3.875 0.000
8.207 3.875 0.000
0.000 0.000 7.840
Ce Ga Hg
10 4 4
direct
0.000 0.000 0.000
0.059 0.681 0.679
0.181 0.559 0.179
0.319 0.941 0.679
0.441 0.819 0.179
0.500 0.500 0.500
0.559 0.181 0.821
0.681 0.059 0.321
0.819 0.441 0.821
0.941 0.319 0.321
0.114 0.886 0.382
0.386 0.614 0.882
0.614 0.386 0.118
0.886 0.114 0.618
0.220 0.220 0.000
0.280 0.280 0.500
0.720 0.720 0.500
0.780 0.780 0.000


# 3
MgCO2F, optimized geometry, DFT PBE; total moment = 1.00 μB per cell; formation energy (no corrections) = 1.74 eV per formula unit
1.0
4.048 0.000 0.000
0.000 4.048 0.000
0.000 0.000 3.708
Mg C O F
1 1 2 1
direct
0.000 0.000 0.000
0.500 0.500 0.500
0.000 0.500 0.000
0.500 0.000 0.000
0.000 0.000 0.500


# 4
Cs7Hg3Cl, optimized geometry, DFT PBE; total moment = 0.00 μB per cell; formation energy (no corrections) = -4.71 eV per formula unit
1.0
6.041 -7.089 0.000
6.041 7.089 0.000
-3.002 0.000 8.367
Cs Hg Cl
7 3 1
direct
0.000 0.000 0.000
0.047 0.491 0.914
0.099 0.766 0.501
0.328 0.328 0.495
0.491 0.047 0.914
0.593 0.593 0.129
0.766 0.099 0.501
0.346 0.890 0.239
0.691 0.691 0.653
0.890 0.346 0.239
0.147 0.147 0.728


# 5
PmHfBe2, optimized geometry, DFT PBE; total moment = 0.00 μB per cell; DFT formation energy = 57.2 meV per atom
1.0
3.306 0.000 0.000
0.000 3.306 0.000
0.000 0.000 6.603
Pm Hf Be
1 1 2
direct
0.000 0.000 0.000
0.000 0.000 0.500
0.500 0.500 0.304
0.500 0.500 0.696


# 6
La2CePuAs4, optimized geometry, DFT PBE; total moment = 5.80 μB per cell; DFT formation energy = -1387.6 meV per atom
1.0
7.405 0.000 0.000
0.000 4.279 0.000
-2.478 0.000 6.997
La Ce Pu As
2 1 1 4
direct
0.000 0.000 0.000
0.500 0.500 0.000
0.000 0.500 0.500
0.500 0.000 0.500
0.246 0.000 0.738
0.256 0.500 0.264
0.744 0.500 0.736
0.754 0.000 0.262